# HfZrNb2Hg

A relaxed structure of HfZrNb2Hg (PBE-GGA, the Alexandria database).

Results
density: 8.7 g/cm³
ΔH_f (0 K): 1.45 eV/atom
D(E_F): 7.39 states/eV per cell

Unit cell a=4.931 b=4.931 c=5.157 alpha=90.00 beta=90.00 gamma=90.00
Space group P4/mmm (No. 123)
Asymmetric unit:
Hf1 0.000 0.000 0.000 [1 per cell]
Zr1 0.000 0.000 0.500 [1 per cell]
Nb1 0.000 0.500 0.500 [2 per cell]
Hg1 0.500 0.500 0.000 [1 per cell]